a) Below is a relaxed Pr5DyY crystal, with properties calculated at the PBE-GGA level.

Properties
Total magnetic moment, μB per formula unit: 0.00
SG: No. 12

a b c (Å): 5.9789 8.1412 8.1412
angles (deg): 66.29 68.53 68.53
Element x y z (fractional)
Dy 0.0000 0.0000 0.0000
Pr 0.0000 0.3233 0.6767
Pr 0.7520 0.2481 0.2481
Pr 0.0000 0.6767 0.3233
Y 0.5000 0.5000 0.5000
Pr 0.2480 0.7519 0.7519
Pr 0.5000 0.0000 0.0000

=====

b) Below is a relaxed Pr5DyY crystal, with properties calculated at the PBE-GGA level.

Properties
Total magnetic moment, μB per formula unit: 0.00
SG: No. 15

a b c (Å): 9.0083 9.0083 13.5241
angles (deg): 45.60 45.60 43.89
Element x y z (fractional)
Pr 0.2529 0.2518 0.4059
Pr 0.6695 0.6651 0.9109
Pr 0.3349 0.3305 0.5891
Dy 0.0000 0.0000 0.0000
Pr 0.6651 0.6695 0.4109
Pr 0.2518 0.2529 0.9059
Pr 0.7608 0.2392 0.7500
Dy 0.0000 0.0000 0.5000
Y 0.2374 0.7626 0.7500
Pr 0.2392 0.7608 0.2500
Pr 0.7482 0.7471 0.0941
Pr 0.3305 0.3349 0.0891
Pr 0.7471 0.7482 0.5941
Y 0.7626 0.2374 0.2500

=====

b) is favored, and the nearest alternative lies 78.8 kJ/mol of atoms above it.

=====

a) Below is a relaxed PrDy3Y4 crystal, with properties calculated at the PBE-GGA level.

Properties
Total magnetic moment, μB per formula unit: 0.00
SG: No. 31

a b c (Å): 6.3208 7.3190 11.3714
angles (deg): 90.00 90.00 90.00
Element x y z (fractional)
Y 0.9827 0.1249 0.7483
Y 0.1459 0.8750 0.0000
Dy 0.1484 0.3747 0.5000
Dy 0.6484 0.6253 0.0000
Y 0.6459 0.1250 0.5000
Dy 0.9798 0.6252 0.7501
Y 0.4827 0.8751 0.7517
Dy 0.9798 0.6252 0.2499
Dy 0.4798 0.3748 0.7499
Dy 0.4798 0.3748 0.2501
Pr 0.1492 0.3759 0.0000
Y 0.1468 0.8751 0.5000
Pr 0.6492 0.6241 0.5000
Y 0.4827 0.8751 0.2483
Y 0.9827 0.1249 0.2517
Y 0.6468 0.1249 0.0000

=====

b) Below is a relaxed PrDy3Y4 crystal, with properties calculated at the PBE-GGA level.

Properties
Total magnetic moment, μB per formula unit: 0.00
SG: No. 10

a b c (Å): 3.5838 10.7173 8.0028
angles (deg): 81.38 63.34 70.47
Element x y z (fractional)
Dy 0.0000 0.5001 0.5000
Y 0.5044 0.2477 0.7480
Y 0.4955 0.7524 0.2521
Y 0.0000 0.7525 0.7478
Dy 0.5000 0.0002 0.4999
Dy 0.9999 0.0001 0.0001
Y 0.9999 0.2479 0.2520
Pr 0.5000 0.5002 0.9999

=====

a) is favored, and the nearest alternative lies 1.3 kJ/mol of atoms above it.